[1]
Here is an optimized crystal structure of CuBiSe2 from the Open Quantum Materials Database. Energies are from PBE.

Computed properties:
- volume (Å³/cell) = 272
- DFT total energy (eV for the cell shown) = -46.37
- space group = P-3m1, No. 164

Cell: 4.053 4.053 19.145 Å, 90.00 90.00 120.00°
Atoms (fractional coordinates):
Cu 0.667 0.333 0.833
Cu 0.000 0.000 0.500
Cu 0.333 0.667 0.167
Se 0.667 0.333 0.096
Se 0.333 0.667 0.904
Se 0.000 0.000 0.238
Se 0.667 0.333 0.570
Se 0.333 0.667 0.430
Se 0.000 0.000 0.762
Bi 0.333 0.667 0.666
Bi 0.667 0.333 0.334
Bi 0.000 0.000 0.000

***

[2]
Here is an optimized crystal structure of Cu6BiSe6 from the Open Quantum Materials Database. Energies are from PBE.

Computed properties:
- volume (Å³/cell) = 1050
- DFT total energy (eV for the cell shown) = -197.77
- space group = Pnma, No. 62

Cell: 9.609 4.023 27.158 Å, 90.00 90.00 90.00°
Atoms (fractional coordinates):
Se 0.866 0.250 0.900
Se 0.317 0.750 0.167
Se 0.714 0.750 0.172
Se 0.134 0.750 0.100
Se 0.029 0.750 0.566
Se 0.366 0.250 0.600
Se 0.971 0.250 0.434
Se 0.511 0.250 0.268
Se 0.831 0.750 0.036
Se 0.471 0.250 0.066
Se 0.786 0.250 0.672
Se 0.169 0.250 0.964
Se 0.989 0.750 0.768
Se 0.183 0.250 0.667
Se 0.683 0.250 0.833
Se 0.817 0.750 0.333
Se 0.634 0.750 0.400
Se 0.489 0.750 0.732
Se 0.286 0.250 0.828
Se 0.331 0.750 0.464
Se 0.011 0.250 0.232
Se 0.669 0.250 0.536
Se 0.529 0.750 0.934
Se 0.214 0.750 0.328
Cu 0.973 0.250 0.615
Cu 0.430 0.250 0.977
Cu 0.527 0.750 0.115
Cu 0.308 0.250 0.214
Cu 0.918 0.250 0.996
Cu 0.473 0.250 0.885
Cu 0.350 0.250 0.740
Cu 0.570 0.750 0.023
Cu 0.930 0.250 0.523
Cu 0.808 0.250 0.286
Cu 0.784 0.750 0.946
Cu 0.027 0.750 0.385
Cu 0.192 0.750 0.714
Cu 0.650 0.750 0.260
Cu 0.070 0.750 0.477
Cu 0.418 0.250 0.504
Cu 0.150 0.750 0.240
Cu 0.716 0.250 0.446
Cu 0.692 0.750 0.786
Cu 0.216 0.250 0.054
Cu 0.850 0.250 0.760
Cu 0.284 0.750 0.554
Cu 0.082 0.750 0.004
Cu 0.582 0.750 0.496
Bi 0.604 0.750 0.638
Bi 0.104 0.750 0.862
Bi 0.896 0.250 0.138
Bi 0.396 0.250 0.362